1.
{
  "formula": "HfTa5Ge6",
  "functional": "PBE",
  "state": "relaxed",
  "lattice_angstrom": [[3.232, -5.609, 0.000], [3.232, 5.609, 0.000], [-2.158, 0.000, 6.104]],
  "species": ["Hf", "Ta", "Ta", "Ta", "Ta", "Ta", "Ge", "Ge", "Ge", "Ge", "Ge", "Ge"],
  "fractional_positions": [[0.000, 0.000, 0.000], [0.158, 0.842, 0.500], [0.331, 0.669, 0.000], [0.500, 0.500, 0.500], [0.669, 0.331, 0.000], [0.842, 0.158, 0.500], [0.086, 0.426, 0.257], [0.259, 0.259, 0.755], [0.426, 0.086, 0.257], [0.574, 0.914, 0.743], [0.741, 0.741, 0.245], [0.914, 0.574, 0.743]],
  "crystal_system": "monoclinic",
  "ef_ev_per_atom": -0.0191,
  "magmom_total_mub_per_cell": 0.00
}

***

2.
{
  "formula": "HfTa3Ge",
  "functional": "PBE",
  "state": "relaxed",
  "lattice_angstrom": [[4.916, 0.000, 0.000], [0.000, 4.916, 0.000], [0.000, 0.000, 4.916]],
  "species": ["Hf", "Ta", "Ta", "Ta", "Ge"],
  "fractional_positions": [[0.000, 0.000, 0.000], [0.000, 0.000, 0.500], [0.000, 0.500, 0.000], [0.500, 0.000, 0.000], [0.500, 0.500, 0.500]],
  "crystal_system": "cubic",
  "polymorph_energy_ev_per_atom": 1.953,
  "ef_ev_per_atom": 1.9613,
  "magmom_total_mub_per_cell": 0.00
}

***

3.
{
  "formula": "HfTaGe2",
  "functional": "PBE",
  "state": "relaxed",
  "lattice_angstrom": [[1.880, 1.085, 6.219], [-1.880, 1.085, 6.219], [0.000, -2.170, 6.219]],
  "species": ["Hf", "Ta", "Ge", "Ge"],
  "fractional_positions": [[0.000, 0.000, 0.000], [0.500, 0.500, 0.500], [0.247, 0.247, 0.247], [0.753, 0.753, 0.753]],
  "crystal_system": "trigonal",
  "polymorph_energy_ev_per_atom": 0.000,
  "ef_ev_per_atom": -0.2686,
  "magmom_total_mub_per_cell": 0.00
}

***

4.
{
  "formula": "Hf3TaGe",
  "functional": "PBE",
  "state": "relaxed",
  "lattice_angstrom": [[5.082, 0.000, 0.000], [0.000, 5.082, 0.000], [0.000, 0.000, 5.082]],
  "species": ["Hf", "Hf", "Hf", "Ta", "Ge"],
  "fractional_positions": [[0.000, 0.000, 0.500], [0.000, 0.500, 0.000], [0.500, 0.000, 0.000], [0.000, 0.000, 0.000], [0.500, 0.500, 0.500]],
  "crystal_system": "cubic",
  "polymorph_energy_ev_per_atom": 0.494,
  "ef_ev_per_atom": 1.1456,
  "magmom_total_mub_per_cell": 0.00
}

***

Repeat the third record exactly.
{
  "formula": "HfTaGe2",
  "functional": "PBE",
  "state": "relaxed",
  "lattice_angstrom": [[1.880, 1.085, 6.219], [-1.880, 1.085, 6.219], [0.000, -2.170, 6.219]],
  "species": ["Hf", "Ta", "Ge", "Ge"],
  "fractional_positions": [[0.000, 0.000, 0.000], [0.500, 0.500, 0.500], [0.247, 0.247, 0.247], [0.753, 0.753, 0.753]],
  "crystal_system": "trigonal",
  "polymorph_energy_ev_per_atom": 0.000,
  "ef_ev_per_atom": -0.2686,
  "magmom_total_mub_per_cell": 0.00
}

***

Copy entry 3 word for word.
{
  "formula": "HfTaGe2",
  "functional": "PBE",
  "state": "relaxed",
  "lattice_angstrom": [[1.880, 1.085, 6.219], [-1.880, 1.085, 6.219], [0.000, -2.170, 6.219]],
  "species": ["Hf", "Ta", "Ge", "Ge"],
  "fractional_positions": [[0.000, 0.000, 0.000], [0.500, 0.500, 0.500], [0.247, 0.247, 0.247], [0.753, 0.753, 0.753]],
  "crystal_system": "trigonal",
  "polymorph_energy_ev_per_atom": 0.000,
  "ef_ev_per_atom": -0.2686,
  "magmom_total_mub_per_cell": 0.00
}